Computed, not measured: a relaxed structure of Sm6Dy2Tm at the PBE level of DFT.

Output
offset from the most stable computed form	0.1156	eV/atom
density	7.778	Mg/m³
magnetization	0.00	Bohr magnetons per cell

abc: 3.638 9.940 9.940
angles: 56.03 90.00 90.00
Sites, in units of the cell vectors:
Sm 0.000 0.841 0.488
Sm 0.500 0.685 0.315
Sm 0.000 0.159 0.512
Sm 0.500 0.315 0.685
Sm 0.000 0.512 0.159
Sm 0.000 0.488 0.841
Dy 0.500 0.178 0.178
Dy 0.500 0.822 0.822
Tm 0.000 0.000 0.000

Computed, not measured: a relaxed structure of InSnAs2Br at the PBE level of DFT.

Output
offset from the most stable computed form	0.0000	eV/atom
density	4.696	Mg/m³
energy relative to the elements, uncorrected	0.358	eV/atom
magnetization	1.29	Bohr magnetons per cell

abc: 5.311 5.311 5.807
angles: 90.00 90.00 90.00
Site moments in Bohr magnetons follow the coordinates.
Sites, in units of the cell vectors:
Sn 0.000 0.000 0.000  0.01
As 0.000 0.500 0.000  0.27
As 0.500 0.000 0.000  0.27
Br 0.000 0.000 0.500  0.07
In 0.500 0.500 0.500  0.01

Computed, not measured: a relaxed structure of Ho2ScO at the PBE level of DFT.

Output
offset from the most stable computed form	0.0000	eV/atom
density	7.504	Mg/m³
energy relative to the elements, uncorrected	-1.344	eV/atom
magnetization	0.02	Bohr magnetons per cell

abc: 3.459 3.459 8.582
angles: 78.37 78.37 60.00
Sites, in units of the cell vectors:
Ho 0.278 0.278 0.165
Ho 0.722 0.722 0.835
Sc 0.500 0.500 0.500
O 0.000 0.000 0.000

| no. | final energy (eV/atom) |
| --- | --- |
| 1 | -4.53 |
| 2 | -3.18 |
| 3 | -6.45 |